Entry 1:
Compound: CePr12Tm2
Source: Alexandria via LeMat-Bulk
Functional: PBE-GGA
Structure: relaxed

a = 7.225 Å, b = 11.713 Å, c = 25.175 Å
α = 90.00°, β = 90.00°, γ = 90.00°
Space group Cmme (No. 67)
Unique sites:
Ce: 0.000 0.250 0.001 x4
Pr: 0.000 0.004 0.928 x8
Pr: 0.000 0.024 0.440 x8
Pr: 0.231 0.250 0.586 x8
Pr: 0.248 0.250 0.129 x8
Pr: 0.250 0.000 0.198 x8
Pr: 0.250 0.000 0.323 x8
Tm: 0.000 0.250 0.269 x4
Tm: 0.000 0.250 0.734 x4

Values from the calculation:
The calculation puts the mass density at 6.8 g cm⁻³. As for the total magnetization: 1.54 μB per formula unit. The value obtained for the formation energy is 2.6 eV per formula unit.

***

Entry 2:
Compound: CePr2Tm
Source: Alexandria via LeMat-Bulk
Functional: PBE-GGA
Structure: relaxed

a = 8.155 Å, b = 8.155 Å, c = 8.155 Å
α = 90.00°, β = 90.00°, γ = 90.00°
Space group Fm-3m (No. 225)
Unique sites:
Ce: 0.000 0.000 0.000 x4
Pr: 0.250 0.250 0.250 x8
Tm: 0.000 0.000 0.500 x4

Values from the calculation:
The calculation puts the mass density at 7.2 g cm⁻³. Its excess energy over the best structure of this formula in the dataset is 0.124 eV per atom. As for the total magnetization: 3.09 μB per formula unit. The value obtained for the formation energy is 0.8 eV per formula unit.

***

Entry 3:
Compound: CePr2Tm
Source: Alexandria via LeMat-Bulk
Functional: PBE-GGA
Structure: relaxed

a = 5.112 Å, b = 5.112 Å, c = 5.059 Å
α = 90.00°, β = 90.00°, γ = 90.00°
Space group P4/mmm (No. 123)
Unique sites:
Ce: 0.000 0.000 0.000 x1
Pr: 0.000 0.500 0.500 x2
Tm: 0.500 0.500 0.000 x1

Values from the calculation:
The calculation puts the mass density at 7.4 g cm⁻³. Its excess energy over the best structure of this formula in the dataset is 0.004 eV per atom. As for the total magnetization: 0.77 μB per formula unit. The value obtained for the formation energy is 0.3 eV per formula unit.

***

Entry 4:
Compound: CePrTm
Source: Alexandria via LeMat-Bulk
Functional: PBE-GGA
Structure: relaxed

a = 3.5438 Å, b = 3.5438 Å, c = 8.7405 Å
α = 90.00°, β = 90.00°, γ = 120.00°
Space group P3m1 (No. 156)
Unique sites:
Ce: 0.0000 0.0000 0.0000 x1
Pr: 0.6667 0.3333 0.3361 x1
Tm: 0.3333 0.6667 0.6795 x1

Values from the calculation:
The calculation puts the mass density at 7.9 g cm⁻³. Its excess energy over the best structure of this formula in the dataset is 0.021 eV per atom. As for the total magnetization: 0.64 μB per formula unit. The value obtained for the formation energy is 0.2 eV per formula unit.

***

Entry 5:
Compound: CePr6Tm
Source: Alexandria via LeMat-Bulk
Functional: PBE-GGA
Structure: relaxed

a = 16.247 Å, b = 6.065 Å, c = 6.065 Å
α = 90.00°, β = 111.86°, γ = 90.00°
Space group C2/m (No. 12)
Unique sites:
Ce: 0.000 0.000 0.000 x2
Pr: 0.118 0.000 0.618 x4
Pr: 0.118 0.500 0.118 x4
Pr: 0.248 0.000 0.247 x4
Tm: 0.000 0.500 0.500 x2

Values from the calculation:
The calculation puts the mass density at 6.9 g cm⁻³. As for the total magnetization: 1.62 μB per formula unit. The value obtained for the formation energy is 1.1 eV per formula unit.

***

Entry 6:
Compound: CePr4Tm3
Source: Alexandria via LeMat-Bulk
Functional: PBE-GGA
Structure: relaxed

a = 23.785 Å, b = 3.437 Å, c = 6.868 Å
α = 90.00°, β = 106.53°, γ = 90.00°
Space group C2/m (No. 12)
Unique sites:
Ce: 0.000 0.000 0.000 x2
Pr: 0.121 0.500 0.365 x4
Pr: 0.241 0.000 0.233 x4
Tm: 0.000 0.500 0.500 x2
Tm: 0.122 0.500 0.880 x4

Values from the calculation:
The calculation puts the mass density at 7.5 g cm⁻³. As for the total magnetization: 0.98 μB per formula unit. The value obtained for the formation energy is 1.6 eV per formula unit.

***

Entry 7:
Compound: CePrTm
Source: Alexandria via LeMat-Bulk
Functional: PBE-GGA
Structure: relaxed

a = 7.370 Å, b = 7.370 Å, c = 7.370 Å
α = 90.00°, β = 90.00°, γ = 90.00°
Space group P2_13 (No. 198)
Unique sites:
Ce: 0.202 0.298 0.702 x4
Pr: 0.061 0.561 0.939 x4
Tm: 0.107 0.107 0.107 x4

Values from the calculation:
The calculation puts the mass density at 7.5 g cm⁻³. Its excess energy over the best structure of this formula in the dataset is 0.584 eV per atom. As for the total magnetization: 0.05 μB per formula unit. The value obtained for the formation energy is 1.9 eV per formula unit.

***

Entry 8:
Compound: CePr4Tm7
Source: Alexandria via LeMat-Bulk
Functional: PBE-GGA
Structure: relaxed

a = 6.084 Å, b = 6.809 Å, c = 9.822 Å
α = 106.27°, β = 92.15°, γ = 90.24°
Space group P-1 (No. 2)
Unique sites:
Ce: 0.000 0.000 0.000 x1
Pr: 0.096 0.169 0.665 x2
Pr: 0.413 0.899 0.186 x2
Tm: 0.000 0.500 0.000 x1
Tm: 0.061 0.339 0.337 x2
Tm: 0.426 0.740 0.497 x2
Tm: 0.460 0.612 0.834 x2

Values from the calculation:
The calculation puts the mass density at 8.0 g cm⁻³. As for the total magnetization: 1.29 μB per formula unit. The value obtained for the formation energy is 1.1 eV per formula unit.

***

Entry 9:
Compound: CePr6Tm12
Source: Alexandria via LeMat-Bulk
Functional: PBE-GGA
Structure: relaxed

a = 13.2242 Å, b = 13.2242 Å, c = 12.5242 Å
α = 90.00°, β = 90.00°, γ = 120.00°
Space group R-3m (No. 166, hexagonal axes)
Unique sites:
Ce: 0.0000 0.0000 0.0000 x3
Pr: 0.0384 0.5192 0.6191 x18
Tm: 0.0000 0.2542 0.5000 x18
Tm: 0.0913 0.1826 0.2616 x18

Values from the calculation:
The calculation puts the mass density at 7.9 g cm⁻³. As for the total magnetization: 0.32 μB per formula unit. The value obtained for the formation energy is 4.2 eV per formula unit.

***

Entry 10:
Compound: Ce4PrTm
Source: Alexandria via LeMat-Bulk
Functional: PBE-GGA
Structure: relaxed

a = 8.972 Å, b = 8.972 Å, c = 8.972 Å
α = 90.00°, β = 90.00°, γ = 90.00°
Space group F-43m (No. 216)
Unique sites:
Ce: 0.120 0.120 0.380 x16
Pr: 0.000 0.000 0.000 x4
Tm: 0.250 0.250 0.750 x4

Values from the calculation:
The calculation puts the mass density at 8.0 g cm⁻³. As for the total magnetization: 4.01 μB per formula unit. The value obtained for the formation energy is 1.2 eV per formula unit.

***

Entry 11:
Compound: CePrTm
Source: Alexandria via LeMat-Bulk
Functional: PBE-GGA
Structure: relaxed

a = 3.561 Å, b = 3.561 Å, c = 14.931 Å
α = 90.00°, β = 90.00°, γ = 90.00°
Space group I4mm (No. 107)
Unique sites:
Ce: 0.000 0.000 0.000 x2
Pr: 0.000 0.000 0.664 x2
Tm: 0.000 0.000 0.344 x2

Values from the calculation:
The calculation puts the mass density at 7.9 g cm⁻³. Its excess energy over the best structure of this formula in the dataset is 0.023 eV per atom. As for the total magnetization: 0.19 μB per formula unit. The value obtained for the formation energy is 0.2 eV per formula unit.

***

Entry 12:
Compound: CePr15Tm4
Source: Alexandria via LeMat-Bulk
Functional: PBE-GGA
Structure: relaxed

a = 5.184 Å, b = 5.184 Å, c = 25.833 Å
α = 90.00°, β = 90.00°, γ = 90.00°
Space group P4/mmm (No. 123)
Unique sites:
Ce: 0.000 0.000 0.000 x1
Pr: 0.000 0.500 0.100 x4
Pr: 0.000 0.500 0.300 x4
Pr: 0.000 0.500 0.500 x2
Pr: 0.500 0.500 0.000 x1
Pr: 0.500 0.500 0.202 x2
Pr: 0.500 0.500 0.400 x2
Tm: 0.000 0.000 0.200 x2
Tm: 0.000 0.000 0.400 x2

Values from the calculation:
The calculation puts the mass density at 7.0 g cm⁻³. As for the total magnetization: 1.20 μB per formula unit. The value obtained for the formation energy is 0.5 eV per formula unit.

***

Entry 13:
Compound: CePr2Tm
Source: Alexandria via LeMat-Bulk
Functional: PBE-GGA
Structure: relaxed

a = 3.4828 Å, b = 3.4828 Å, c = 37.6952 Å
α = 90.00°, β = 90.00°, γ = 120.00°
Space group R-3m (No. 166, hexagonal axes)
Unique sites:
Ce: 0.0000 0.0000 0.0000 x3
Pr: 0.0000 0.0000 0.0883 x6
Tm: 0.0000 0.0000 0.5000 x3

Values from the calculation:
The calculation puts the mass density at 7.4 g cm⁻³. Its excess energy over the best structure of this formula in the dataset is 0.119 eV per atom. As for the total magnetization: 0.89 μB per formula unit. The value obtained for the formation energy is 0.8 eV per formula unit.

***

Entry 14:
Compound: Ce2Pr3Y6Tm
Source: Alexandria via LeMat-Bulk
Functional: PBE-GGA
Structure: relaxed

a = 6.231 Å, b = 10.789 Å, c = 11.851 Å
α = 90.00°, β = 100.07°, γ = 90.00°
Space group C2/m (No. 12)
Unique sites:
Ce: 0.000 0.166 0.000 x4
Pr: 0.000 0.000 0.500 x2
Pr: 0.000 0.334 0.500 x4
Y: 0.247 0.000 0.245 x4
Y: 0.249 0.332 0.245 x8
Tm: 0.000 0.500 0.000 x2

Values from the calculation:
The calculation puts the mass density at 5.9 g cm⁻³. As for the total magnetization: 1.99 μB per formula unit. The value obtained for the formation energy is 0.5 eV per formula unit.

***

Entry 15:
Compound: CePrYTm
Source: Alexandria via LeMat-Bulk
Functional: PBE-GGA
Structure: relaxed

a = 8.062 Å, b = 8.062 Å, c = 8.062 Å
α = 90.00°, β = 90.00°, γ = 90.00°
Space group F-43m (No. 216)
Unique sites:
Ce: 0.000 0.000 0.000 x4
Pr: 0.000 0.000 0.500 x4
Y: 0.250 0.250 0.750 x4
Tm: 0.250 0.250 0.250 x4

Values from the calculation:
The calculation puts the mass density at 6.8 g cm⁻³. As for the total magnetization: 0.71 μB per formula unit. The value obtained for the formation energy is 0.6 eV per formula unit.

***

Entry 16:
Compound: CePr2Y6Tm3
Source: Alexandria via LeMat-Bulk
Functional: PBE-GGA
Structure: relaxed

a = 6.204 Å, b = 10.742 Å, c = 11.825 Å
α = 90.00°, β = 100.08°, γ = 90.00°
Space group C2/m (No. 12)
Unique sites:
Ce: 0.000 0.000 0.000 x2
Pr: 0.000 0.334 0.000 x4
Y: 0.246 0.000 0.746 x4
Y: 0.250 0.165 0.254 x8
Tm: 0.000 0.167 0.500 x4
Tm: 0.000 0.500 0.500 x2

Values from the calculation:
The calculation puts the mass density at 6.3 g cm⁻³. As for the total magnetization: 0.98 μB per formula unit. The value obtained for the formation energy is 0.6 eV per formula unit.

***

Entry 17:
Compound: CePrTmZr
Source: Alexandria via LeMat-Bulk
Functional: PBE-GGA
Structure: relaxed

a = 7.748 Å, b = 7.748 Å, c = 7.748 Å
α = 90.00°, β = 90.00°, γ = 90.00°
Space group F-43m (No. 216)
Unique sites:
Ce: 0.000 0.000 0.000 x4
Pr: 0.000 0.000 0.500 x4
Tm: 0.250 0.250 0.750 x4
Zr: 0.250 0.250 0.250 x4

Values from the calculation:
The calculation puts the mass density at 7.7 g cm⁻³. As for the total magnetization: 0.48 μB per formula unit. The value obtained for the formation energy is 0.9 eV per formula unit.

***

Entry 18:
Compound: CePr2V
Source: Alexandria via LeMat-Bulk
Functional: PBE-GGA
Structure: relaxed

a = 3.4066 Å, b = 3.4066 Å, c = 34.8534 Å
α = 90.00°, β = 90.00°, γ = 120.00°
Space group R-3m (No. 166, hexagonal axes)
Unique sites:
Ce: 0.0000 0.0000 0.0000 x3
Pr: 0.0000 0.0000 0.4176 x6
V: 0.0000 0.0000 0.5000 x3

Values from the calculation:
The calculation puts the mass density at 6.7 g cm⁻³. As for the total magnetization: 2.84 μB per formula unit. The value obtained for the formation energy is 2.6 eV per formula unit.

***

Entry 19:
Compound: CePr6Y2
Source: Alexandria via LeMat-Bulk
Functional: PBE-GGA
Structure: relaxed

a = 3.6564 Å, b = 3.6564 Å, c = 27.4027 Å
α = 90.00°, β = 90.00°, γ = 120.00°
Space group P-6m2 (No. 187)
Unique sites:
Ce: 0.0000 0.0000 0.0000 x1
Pr: 0.0000 0.0000 0.2209 x2
Pr: 0.0000 0.0000 0.4336 x2
Pr: 0.3333 0.6667 0.1072 x2
Y: 0.3333 0.6667 0.3288 x2

Values from the calculation:
The calculation puts the mass density at 6.1 g cm⁻³. As for the total magnetization: 0.92 μB per formula unit. The value obtained for the formation energy is 0.7 eV per formula unit.

***

Entry 20:
Compound: CePr6Y10
Source: Alexandria via LeMat-Bulk
Functional: PBE-GGA
Structure: relaxed

a = 9.7894 Å, b = 9.7894 Å, c = 7.0119 Å
α = 90.00°, β = 90.00°, γ = 120.00°
Space group P-31m (No. 162)
Unique sites:
Ce: 0.0000 0.0000 0.0000 x1
Pr: 0.0000 0.3801 0.7992 x6
Y: 0.0000 0.2705 0.3170 x6
Y: 0.3333 0.6667 0.0000 x2
Y: 0.3333 0.6667 0.5000 x2

Values from the calculation:
The calculation puts the mass density at 5.3 g cm⁻³. As for the total magnetization: 1.45 μB per formula unit. The value obtained for the formation energy is 2.3 eV per formula unit.